{
  "formula": "Dy2YTh",
  "functional": "GGA-PBE",
  "state": "relaxed",
  "relative_energy_mev_per_atom": 0,
  "lattice": [[-1.1901, -1.4768, -3.0501], [1.2672, -3.1872, -1.0660], [-8.3194, -6.8132, 4.4302]],
  "species": ["Dy", "Dy", "Y", "Th"],
  "frac_coords": [[0.0819, 0.0819, 0.7542], [0.2513, 0.2513, 0.2461], [0.5005, 0.5005, 0.4985], [0.6663, 0.6663, 0.0012]]
}